Entry 1:
This record from Alexandria describes LiDyTh2 after structural relaxation. The functional is PBE-GGA.

## Properties
- V (A^3/atom) = 30.27
- density (g/cm³) = 8.69
- formation energy from the elements (eV per atom) = 0.1443
- D(E_F) (states/eV/atom) = 1.3866

a = 3.4875 Å, b = 3.4875 Å, c = 34.4800 Å
α = 90.00°, β = 90.00°, γ = 120.00°
Space group R3m (No. 160, hexagonal axes)
Inequivalent atoms, fractional coordinates:
Li1 0.0000 0.0000 0.0000 (multiplicity 3)
Dy1 0.0000 0.0000 0.1672 (multiplicity 3)
Th1 0.0000 0.0000 0.4151 (multiplicity 3)
Th2 0.0000 0.0000 0.5852 (multiplicity 3)

Entry 2:
This record from Alexandria describes LiDyTh2 after structural relaxation. The functional is PBE-GGA.

## Properties
- V (A^3/atom) = 31.99
- density (g/cm³) = 8.22
- formation energy from the elements (eV per atom) = 0.2496
- D(E_F) (states/eV/atom) = 1.2137

a = 3.4350 Å, b = 3.4350 Å, c = 37.5710 Å
α = 90.00°, β = 90.00°, γ = 120.00°
Space group R-3m (No. 166, hexagonal axes)
Inequivalent atoms, fractional coordinates:
Li1 0.0000 0.0000 0.0000 (multiplicity 3)
Dy1 0.0000 0.0000 0.5000 (multiplicity 3)
Th1 0.0000 0.0000 0.0881 (multiplicity 6)

Entry 3:
This record from Alexandria describes LiDy2Th after structural relaxation. The functional is PBE-GGA.

## Properties
- V (A^3/atom) = 29.37
- density (g/cm³) = 7.97
- formation energy from the elements (eV per atom) = 0.1707
- D(E_F) (states/eV/atom) = 1.3132

a = 5.713 Å, b = 5.713 Å, c = 3.599 Å
α = 90.00°, β = 90.00°, γ = 90.00°
Space group P4/mmm (No. 123)
Inequivalent atoms, fractional coordinates:
Li1 0.000 0.000 0.000 (multiplicity 1)
Dy1 0.000 0.500 0.500 (multiplicity 2)
Th1 0.500 0.500 0.000 (multiplicity 1)

| no. | E (eV/atom) | energy above the most stable polymorph in this dataset (kJ/mol of atoms) |
| --- | --- | --- |
| 1 | -5.19 | 0.0 |
| 2 | -5.09 | 10.2 |
| 3 | -4.46 | 11.3 |